1.
# La2TcMo

A relaxed structure of La2TcMo (PBEsol, Alexandria via LeMat-Bulk).

Cell: 4.073 4.073 10.029 Å, 90.00 90.00 90.00°
Space group I-4m2 (No. 119)
One atom of each set of equivalent atoms:
La 0.000 0.000 0.000 [2 per cell]
La 0.000 0.500 0.250 [2 per cell]
Tc 0.000 0.500 0.750 [2 per cell]
Mo 0.000 0.000 0.500 [2 per cell]

Calculated values
N(E_F), states/eV/f.u.: 5.0
E above lowest polymorph, meV per atom: 27
Energy of formation, eV per formula unit: 2.56
Final energy, eV per atom: -7.7914

---

2.
# La2TcMo

A relaxed structure of La2TcMo (PBEsol, Alexandria via LeMat-Bulk).

Cell: 3.368 5.305 9.127 Å, 90.00 90.00 90.00°
Space group Cmmm (No. 65)
One atom of each set of equivalent atoms:
La 0.000 0.000 0.244 [4 per cell]
Tc 0.000 0.500 0.000 [2 per cell]
Mo 0.000 0.500 0.500 [2 per cell]

Calculated values
N(E_F), states/eV/f.u.: 5.5
E above lowest polymorph, meV per atom: 0
Energy of formation, eV per formula unit: 2.45
Final energy, eV per atom: -7.8187

---

3.
# LaTc3Mo

A relaxed structure of LaTc3Mo (PBEsol, Alexandria via LeMat-Bulk).

Cell: 4.598 4.598 4.598 Å, 90.00 90.00 90.00°
Space group Pm-3m (No. 221)
One atom of each set of equivalent atoms:
La 0.000 0.000 0.000 [1 per cell]
Tc 0.000 0.000 0.500 [3 per cell]
Mo 0.500 0.500 0.500 [1 per cell]

Calculated values
N(E_F), states/eV/f.u.: 5.1
Energy of formation, eV per formula unit: 12.00
Final energy, eV per atom: -7.7836